# GGA-PBE KCePr2, relaxed
# - Total energy: -3.4863 eV per atom
# - Formation energy from the elements: 0.661 eV/atom
# - Spin magnetization: 0.00 μB per formula unit
# - V: 516 Å³/cell
data_KCePr2
_space_group_name_H-M_alt 'R -3 m'
_space_group_IT_number 166
_space_group_name_Hall '-R 3 2"'
_cell_length_a 4.3040
_cell_length_b 4.3040
_cell_length_c 32.1633
_cell_angle_alpha 90.00
_cell_angle_beta 90.00
_cell_angle_gamma 120.00
loop_
_atom_site_label
_atom_site_type_symbol
_atom_site_fract_x
_atom_site_fract_y
_atom_site_fract_z
K1 K 0.0000 0.0000 0.0000
Ce1 Ce 0.0000 0.0000 0.5000
Pr1 Pr 0.0000 0.0000 0.1188